A relaxed structure of Pu2Hg3Pd2, computed with GGA-PBE.

The structure in extended XYZ format:
```
14
Lattice="10.1491 0.0000 0.0000 0.0000 4.4065 0.0000 -2.4760 0.0000 7.1350" Properties=species:S:1:pos:R:3 pbc="T T T"
Pu 0.7105 0.0000 2.0036
Pu 1.8880 2.2033 5.1314
Pu 5.7851 2.2033 2.0036
Pu 6.9625 0.0000 5.1314
Hg -1.2380 2.2033 3.5675
Hg -1.0400 2.2033 6.7219
Hg 3.6385 0.0000 0.4130
Hg 3.8365 0.0000 3.5675
Hg 4.0346 0.0000 6.7219
Hg 8.7131 2.2033 0.4130
Pd -0.1393 0.0000 4.9571
Pd 2.7378 2.2033 2.1778
Pd 4.9352 2.2033 4.9571
Pd 7.8124 0.0000 2.1778
```

electronic total energy: -6.00 eV/atom
Fermi-level density of states: 56.85 states/eV/cell
space group: No. 12

---

A relaxed structure of Pu4HgPd4, computed with GGA-PBE.

The structure in extended XYZ format:
```
18
Lattice="8.5114 0.0000 0.0000 0.0000 8.5114 0.0000 0.0000 0.0000 5.5104" Properties=species:S:1:pos:R:3 pbc="T T T"
Pu 0.7087 7.0563 0.5707
Pu 1.4551 4.9643 3.3259
Pu 2.8006 7.8027 3.3259
Pu 3.5470 5.7108 0.5707
Pu 4.9643 2.8006 4.9397
Pu 5.7108 0.7087 2.1845
Pu 7.0563 3.5470 2.1845
Pu 7.8027 1.4551 4.9397
Hg 2.1278 2.1278 4.1328
Hg 6.3835 6.3835 1.3776
Pd 0.4654 1.1654 2.0481
Pd 1.1654 3.7903 0.7072
Pd 3.0903 0.4654 0.7072
Pd 3.7903 3.0903 2.0481
Pd 4.7210 5.4210 3.4624
Pd 5.4210 8.0460 4.8033
Pd 7.3460 4.7210 4.8033
Pd 8.0460 7.3460 3.4624
```

electronic total energy: -8.94 eV/atom
Fermi-level density of states: 67.61 states/eV/cell
space group: No. 86

---

Q: Among the records above, which one has the highest electronic total energy?
A: Pu2Hg3Pd2

---

Q: Look up the Fermi-level density of states of the second one.
A: 67.61 states/eV/cell

---

What did the second record say?
A relaxed structure of Pu4HgPd4, computed with GGA-PBE.

The structure in extended XYZ format:
```
18
Lattice="8.5114 0.0000 0.0000 0.0000 8.5114 0.0000 0.0000 0.0000 5.5104" Properties=species:S:1:pos:R:3 pbc="T T T"
Pu 0.7087 7.0563 0.5707
Pu 1.4551 4.9643 3.3259
Pu 2.8006 7.8027 3.3259
Pu 3.5470 5.7108 0.5707
Pu 4.9643 2.8006 4.9397
Pu 5.7108 0.7087 2.1845
Pu 7.0563 3.5470 2.1845
Pu 7.8027 1.4551 4.9397
Hg 2.1278 2.1278 4.1328
Hg 6.3835 6.3835 1.3776
Pd 0.4654 1.1654 2.0481
Pd 1.1654 3.7903 0.7072
Pd 3.0903 0.4654 0.7072
Pd 3.7903 3.0903 2.0481
Pd 4.7210 5.4210 3.4624
Pd 5.4210 8.0460 4.8033
Pd 7.3460 4.7210 4.8033
Pd 8.0460 7.3460 3.4624
```

electronic total energy: -8.94 eV/atom
Fermi-level density of states: 67.61 states/eV/cell
space group: No. 86